Compound: CrTcHRh2
Source: Alexandria
Functional: PBE-GGA
Structure: relaxed

## Properties
- offset from the most stable computed form (meV per atom) = 12.4
- crystal system = tetragonal

Unit cell a=3.7988 b=3.7988 c=3.9574 alpha=90.00 beta=90.00 gamma=90.00
With the nearest neighbours (Å) after each atom.
Space group P4/mmm (No. 123)
Inequivalent atoms, fractional coordinates:
Cr1 0.0000 0.0000 0.0000  4 Tc 2.69, 8 Rh 2.74
Tc1 0.5000 0.5000 0.0000  2 H 1.98
H1 0.5000 0.5000 0.5000  4 Rh 1.90, 2 Tc 1.98
Rh1 0.0000 0.5000 0.5000  2 H 1.90